Entry 1:
VASP calculation (PBEsol) on a relaxed structure of Y2MoRu.

Lattice parameters (Å, degrees): 6.084 8.844 3.097 90.00 111.72 90.00
Sites, in units of the cell vectors:
Y  0.250  0.250  0.000
Y  0.250  0.750  0.000
Y  0.750  0.250  0.000
Y  0.750  0.750  0.000
Mo  0.000  0.000  0.500
Mo  0.500  0.500  0.500
Ru  0.000  0.500  0.500
Ru  0.500  0.000  0.500

Results
Symmetry: No. 12
Density (g/cm³): 8.042
Distance to the lowest polymorph of the same formula (meV/atom): 30.6
Crystal system: monoclinic
ΔE_f (eV per atom): 0.37
Calculated volume (Å³/cell): 154.8

=====

Entry 2:
VASP calculation (PBEsol) on a relaxed structure of YMo2Ru.

Lattice parameters (Å, degrees): 5.341 9.232 2.857 90.00 109.07 90.00
Sites, in units of the cell vectors:
Y  0.000  0.000  0.000
Y  0.500  0.500  0.000
Mo  0.250  0.250  0.500
Mo  0.250  0.750  0.500
Mo  0.750  0.250  0.500
Mo  0.750  0.750  0.500
Ru  0.000  0.500  0.000
Ru  0.500  0.000  0.000

Results
Symmetry: No. 12
Density (g/cm³): 9.525
Distance to the lowest polymorph of the same formula (meV/atom): 47.6
Crystal system: monoclinic
ΔE_f (eV per atom): 0.33
Calculated volume (Å³/cell): 133.1

=====

Entry 3:
VASP calculation (PBEsol) on a relaxed structure of YMoRu2.

Lattice parameters (Å, degrees): 3.081 3.081 7.053 90.00 90.00 90.00
Sites, in units of the cell vectors:
Y  0.000  0.000  0.000
Mo  0.000  0.000  0.500
Ru  0.500  0.500  0.292
Ru  0.500  0.500  0.708

Results
Symmetry: No. 123
Density (g/cm³): 9.599
Distance to the lowest polymorph of the same formula (meV/atom): 0.0
Crystal system: tetragonal
ΔE_f (eV per atom): -0.01
Calculated volume (Å³/cell): 66.9

=====

Entry 4:
VASP calculation (PBEsol) on a relaxed structure of YMo2Ru.

Lattice parameters (Å, degrees): 3.174 4.822 8.892 90.00 90.00 90.00
Sites, in units of the cell vectors:
Y  0.000  0.000  0.000
Y  0.500  0.500  0.500
Mo  0.000  0.000  0.496
Mo  0.000  0.500  0.773
Mo  0.500  0.000  0.273
Mo  0.500  0.500  0.996
Ru  0.000  0.500  0.235
Ru  0.500  0.000  0.735

Results
Symmetry: No. 44
Density (g/cm³): 9.318
Distance to the lowest polymorph of the same formula (meV/atom): 0.0
Crystal system: orthorhombic
ΔE_f (eV per atom): 0.28
Calculated volume (Å³/cell): 136.1